LiNbO2F2, relaxed, DFT GGA-PBEsol; uncorrected formation energy = -2.795 eV per atom; magnetization = 0.00 Bohr magnetons per cell; space group = P2_1/c (14)
1.0
7.4846 0.0000 0.0000
0.0000 5.0497 0.0000
-1.5865 0.0000 7.2532
Li Nb O F
4 4 8 8
Direct
0.1490 0.2399 0.3328
0.1490 0.2601 0.8328
0.8510 0.7399 0.1672
0.8510 0.7601 0.6672
0.3320 0.7333 0.1619
0.3320 0.7667 0.6619
0.6680 0.2333 0.3381
0.6680 0.2667 0.8381
0.3050 0.6037 0.9265
0.3050 0.8963 0.4265
0.4420 0.0756 0.8023
0.4420 0.4244 0.3023
0.5580 0.5756 0.6977
0.5580 0.9244 0.1977
0.6950 0.1037 0.5735
0.6950 0.3963 0.0735
0.0882 0.5782 0.1927
0.0882 0.9218 0.6927
0.1892 0.0674 0.0814
0.1892 0.4326 0.5814
0.8108 0.5674 0.4186
0.8108 0.9326 0.9186
0.9118 0.0782 0.3073
0.9118 0.4218 0.8073

***

Cs2RbH, relaxed, DFT GGA-PBEsol; magnetization = 0.00 Bohr magnetons per cell; space group = I-42d (122); final energy = -1.573 eV per atom
1.0
9.3686 0.0000 0.0000
0.0000 9.3686 0.0000
0.0000 0.0000 12.7999
Cs Rb H
8 4 4
Direct
0.0617 0.2500 0.1250
0.2500 0.5617 0.3750
0.2500 0.9383 0.8750
0.4383 0.2500 0.6250
0.5617 0.7500 0.6250
0.7500 0.0617 0.8750
0.7500 0.4383 0.3750
0.9383 0.7500 0.1250
0.0000 0.0000 0.5000
0.0000 0.5000 0.7500
0.5000 0.0000 0.2500
0.5000 0.5000 0.0000
0.0000 0.0000 0.0000
0.0000 0.5000 0.2500
0.5000 0.0000 0.7500
0.5000 0.5000 0.5000

***

no.,volume (Å³ per cell)
1,274.13
2,1123.46